1:
GaMo2As, relaxed, DFT GGA-PBE; space group = I-42d (122); density of states at the Fermi level = 6.09 states/eV/cell
1.0
-1.6836 1.8811 -2.8642
0.8523 -2.8611 -2.3800
-8.4997 -4.6036 -0.5719
Ga Mo As
2 4 2
direct
0.5000 0.5000 0.0000 Ga
0.2500 0.7500 0.5000 Ga
0.8750 0.8753 0.7500 Mo
0.1247 0.6250 0.2500 Mo
0.6253 0.1250 0.2500 Mo
0.3750 0.3747 0.7500 Mo
0.0000 0.0000 0.0000 As
0.7500 0.2500 0.5000 As

2:
GaMo2As, relaxed, DFT GGA-PBE; space group = Fm-3m (225); density of states at the Fermi level = 8.49 states/eV/cell
1.0
3.6647 -2.4762 -0.1511
-0.2437 -4.3593 0.7222
0.6190 -2.8345 -3.3417
As Mo Ga
1 2 1
direct
0.5000 0.5000 0.5000 As
0.7500 0.7500 0.7500 Mo
0.2500 0.2500 0.2500 Mo
0.0000 0.0000 0.0000 Ga

Here are the energies relative to the best structure, in kJ/mol of atoms: 1 19.8; 2 0.0.

1:
GaMoAsSe2, relaxed, DFT GGA-PBE; space group = P4/mmm (123); density of states at the Fermi level = 1.81 states/eV/cell
1.0
4.9356 0.0000 0.0000
0.0000 4.9356 0.0000
0.0000 0.0000 4.8037
Ga Se As Mo
1 2 1 1
direct
0.0000 0.0000 0.0000 Ga
0.0000 0.5000 0.0000 Se
0.5000 0.0000 0.0000 Se
0.0000 0.0000 0.5000 As
0.5000 0.5000 0.5000 Mo

2:
GaMoAsSe2, relaxed, DFT GGA-PBE; space group = P4/mmm (123); density of states at the Fermi level = 3.93 states/eV/cell
1.0
-4.0515 1.0518 -2.7534
-2.9474 -1.4398 3.7871
0.0036 4.5742 1.7420
Se Ga Mo As
2 1 1 1
direct
0.5000 0.0000 0.0000 Se
0.0000 0.5000 0.0000 Se
0.5000 0.5000 0.5000 Ga
0.0000 0.0000 0.0000 Mo
0.0000 0.0000 0.5000 As

Here are the energies relative to the best structure, in kJ/mol of atoms: 1 69.4; 2 0.0.

1:
Ga2AsN, relaxed, DFT GGA-PBE; space group = I-42d (122); density of states at the Fermi level = 0.00 states/eV/cell
1.0
-3.9919 -2.3430 -2.3052
-0.4900 -3.1617 4.0623
-5.3977 0.5056 3.0335
N Ga As
2 4 2
direct
0.5000 0.5000 0.0000 N
0.2500 0.7500 0.5000 N
0.1961 0.6250 0.2500 Ga
0.8750 0.8039 0.7500 Ga
0.5539 0.1250 0.2500 Ga
0.3750 0.4461 0.7500 Ga
0.0000 0.0000 0.0000 As
0.7500 0.2500 0.5000 As

2:
Ga2AsN, relaxed, DFT GGA-PBE; space group = Fm-3m (225); density of states at the Fermi level = 2.24 states/eV/cell
1.0
2.1554 -3.0911 -2.3171
1.6190 -3.5715 2.0477
-1.8545 -3.9610 -0.6639
Ga As N
2 1 1
direct
0.2500 0.2500 0.2500 Ga
0.7500 0.7500 0.7500 Ga
0.5000 0.5000 0.5000 As
0.0000 0.0000 0.0000 N

Here are the energies relative to the best structure, in kJ/mol of atoms: 1 0.0; 2 110.9.

1:
GaAs3N, relaxed, DFT GGA-PBE; space group = Pm-3m (221); density of states at the Fermi level = 3.41 states/eV/cell
1.0
4.4033 0.0000 0.0000
0.0000 4.4033 0.0000
0.0000 0.0000 4.4033
As Ga N
3 1 1
direct
0.0000 0.0000 0.5000 As
0.0000 0.5000 0.0000 As
0.5000 0.0000 0.0000 As
0.5000 0.5000 0.5000 Ga
0.0000 0.0000 0.0000 N

2:
GaAs3N, relaxed, DFT GGA-PBE; space group = Pm-3m (221); density of states at the Fermi level = 3.06 states/eV/cell
1.0
4.9522 0.0000 0.0000
0.0000 4.9522 0.0000
0.0000 0.0000 4.9522
As Ga N
3 1 1
direct
0.5000 0.0000 0.0000 As
0.0000 0.0000 0.5000 As
0.0000 0.5000 0.0000 As
0.0000 0.0000 0.0000 Ga
0.5000 0.5000 0.5000 N

Here are the energies relative to the best structure, in kJ/mol of atoms: 1 0.0; 2 96.7.

1:
GaAs2N, relaxed, DFT GGA-PBE; space group = I-42d (122); density of states at the Fermi level = 0.21 states/eV/cell
1.0
-2.9332 -3.3510 -2.5255
3.2620 -3.7592 1.1995
-2.7908 -4.5873 4.1389
Ga N As
2 2 4
direct
0.0000 0.0000 0.0000 Ga
0.7500 0.2500 0.5000 Ga
0.5000 0.5000 0.0000 N
0.2500 0.7500 0.5000 N
0.1907 0.6250 0.2500 As
0.8750 0.8093 0.7500 As
0.5593 0.1250 0.2500 As
0.3750 0.4407 0.7500 As

2:
GaAs2N, relaxed, DFT GGA-PBE; space group = Fm-3m (225); density of states at the Fermi level = 2.40 states/eV/cell
1.0
-0.0856 -3.2591 2.9979
1.5233 0.7185 4.0963
-2.8211 0.1999 3.4085
As Ga N
2 1 1
direct
0.2500 0.2500 0.2500 As
0.7500 0.7500 0.7500 As
0.5000 0.5000 0.5000 Ga
0.0000 0.0000 0.0000 N

Here are the energies relative to the best structure, in kJ/mol of atoms: 1 0.0; 2 61.3.

1:
Ga2As2N, relaxed, DFT GGA-PBE; space group = I4/mmm (139); density of states at the Fermi level = 3.17 states/eV/cell
1.0
-0.0942 5.4750 0.5872
-1.6804 0.5307 -5.2176
-4.0361 2.8416 -1.3175
Ga As N
2 2 1
direct
0.7500 0.2500 0.5000 Ga
0.2500 0.7500 0.5000 Ga
0.2697 0.2697 0.4606 As
0.7303 0.7303 0.5394 As
0.0000 0.0000 0.0000 N

2:
Ga2As2N, relaxed, DFT GGA-PBE; space group = P4/mbm (127); density of states at the Fermi level = 5.24 states/eV/cell
1.0
6.0615 0.0000 0.0000
0.0000 6.0615 0.0000
0.0000 0.0000 4.8494
Ga As N
4 4 2
direct
0.8446 0.3446 0.5000 Ga
0.3446 0.1554 0.5000 Ga
0.1554 0.6554 0.5000 Ga
0.6554 0.8446 0.5000 Ga
0.2835 0.7835 0.0000 As
0.7165 0.2165 0.0000 As
0.2165 0.2835 0.0000 As
0.7835 0.7165 0.0000 As
0.0000 0.0000 0.0000 N
0.5000 0.5000 0.0000 N

Here are the energies relative to the best structure, in kJ/mol of atoms: 1 0.0; 2 15.5.

1:
GaAsPb2N, relaxed, DFT GGA-PBE; space group = P4/mmm (123); density of states at the Fermi level = 4.84 states/eV/cell
1.0
-3.9016 3.2353 -2.5270
-0.8949 -3.4968 -3.0951
-3.9644 -2.0641 3.4782
Ga Pb N As
1 2 1 1
direct
0.0000 0.5000 0.0000 Ga
0.0000 0.0000 0.5000 Pb
0.5000 0.0000 0.0000 Pb
0.5000 0.5000 0.5000 N
0.0000 0.0000 0.0000 As

2:
GaAsPb2N, relaxed, DFT GGA-PBE; space group = P4/mmm (123); density of states at the Fermi level = 1.85 states/eV/cell
1.0
-2.6589 -4.3979 1.3421
3.3973 -1.5896 1.5218
-1.1264 2.1260 4.7353
Ga As N Pb
1 1 1 2
direct
0.5000 0.5000 0.5000 Ga
0.0000 0.5000 0.0000 As
0.0000 0.0000 0.0000 N
0.5000 0.0000 0.0000 Pb
0.0000 0.0000 0.5000 Pb

Here are the energies relative to the best structure, in kJ/mol of atoms: 1 85.8; 2 0.0.

1:
GaAsS2N, relaxed, DFT GGA-PBE; space group = P4/mmm (123); density of states at the Fermi level = 2.28 states/eV/cell
1.0
-4.6374 -0.3916 1.4043
-1.2064 -1.5985 -4.4295
0.6216 -3.4733 1.0842
As Ga S N
1 1 2 1
direct
0.5000 0.5000 0.5000 As
0.0000 0.0000 0.0000 Ga
0.5000 0.0000 0.0000 S
0.0000 0.5000 0.0000 S
0.0000 0.0000 0.5000 N

2:
GaAsS2N, relaxed, DFT GGA-PBE; space group = P4/mmm (123); density of states at the Fermi level = 3.94 states/eV/cell
1.0
4.8721 0.0000 0.0000
0.0000 4.8721 0.0000
0.0000 0.0000 3.6435
N Ga S As
1 1 2 1
direct
0.0000 0.0000 0.5000 N
0.5000 0.5000 0.5000 Ga
0.5000 0.0000 0.0000 S
0.0000 0.5000 0.0000 S
0.0000 0.0000 0.0000 As

Here are the energies relative to the best structure, in kJ/mol of atoms: 1 8.1; 2 0.0.